# 1
The following is a DFT calculation (PBE) of a geometry-optimized Ca6PdPt2 structure.

abc: 8.578 8.578 8.578
angles: 146.43 131.77 60.04
Fractional coordinates of all 9 atoms:
Ca (0.081, 0.332, 0.748)
Ca (0.247, 0.000, 0.247)
Ca (0.416, 0.668, 0.748)
Ca (0.584, 0.332, 0.252)
Ca (0.753, 0.000, 0.753)
Ca (0.919, 0.668, 0.252)
Pd (0.500, 0.500, 0.000)
Pt (0.167, 0.167, 0.000)
Pt (0.833, 0.833, 0.000)

E_form ... -681 meV per atom
VASP energy ... -0.28921 Ry per atom
Density of states at the Fermi level ... 1.948 states/eV per cell

---

# 2
The following is a DFT calculation (PBE) of a geometry-optimized AcTbNdAl structure.

abc: 5.580 5.580 5.580
angles: 60.00 60.00 60.00
Fractional coordinates of all 4 atoms:
Ac (0.000, 0.000, 0.000)
Tb (0.250, 0.250, 0.250)
Nd (0.750, 0.750, 0.750)
Al (0.500, 0.500, 0.500)

E_form ... 58 meV per atom
VASP energy ... -0.31265 Ry per atom
Density of states at the Fermi level ... 6.987 states/eV per cell

---

# 3
The following is a DFT calculation (PBE) of a geometry-optimized Co4IrS8 structure.

abc: 6.141 6.141 7.709
angles: 123.08 123.08 66.94
Fractional coordinates of all 13 atoms:
Co (0.230, 0.230, 0.490)
Co (0.234, 0.766, 0.000)
Co (0.766, 0.234, 0.000)
Co (0.770, 0.770, 0.510)
Ir (0.500, 0.500, 0.500)
S (0.033, 0.522, 0.331)
S (0.037, 0.037, 0.837)
S (0.478, 0.967, 0.669)
S (0.481, 0.481, 0.172)
S (0.519, 0.519, 0.828)
S (0.522, 0.033, 0.331)
S (0.963, 0.963, 0.163)
S (0.967, 0.478, 0.669)

VASP energy ... -0.42264 Ry per atom
Density of states at the Fermi level ... 7.774 states/eV per cell
ΔE_f (raw) ... -342 meV/atom